A geometry-optimized AcPrCuPt structure, computed with PBE-GGA.

## Properties
excess energy over the best structure of this formula in the dataset	0.0	meV per atom
energy relative to the elements	-0.640	eV per atom
uncorrected energy	-5.40	eV/atom
density of states at the Fermi level	0.8725	states/eV per atom

Cell lengths 4.646, 5.942, 5.942 Å; angles 40.12, 90.00, 90.00 degrees
Positions (direct):
Ac1 0.000 0.000 0.000
Pr1 0.500 0.725 0.725
Cu1 0.500 0.433 0.433
Pt1 0.000 0.283 0.283

---

A geometry-optimized ZnSb2C structure, computed with PBE-GGA.

## Properties
excess energy over the best structure of this formula in the dataset	0.0	meV per atom
uncorrected energy	-4.06	eV/atom
density of states at the Fermi level	0.0045	states/eV per atom
formation energy from raw total energies	628.7	meV per atom

Cell lengths 6.713, 6.713, 6.713 Å; angles 129.31, 129.31, 74.52 degrees
Positions (direct):
Zn1 0.000 0.000 0.000
Zn2 0.750 0.250 0.500
Sb1 0.178 0.625 0.053
Sb2 0.375 0.428 0.553
Sb3 0.572 0.125 0.947
Sb4 0.875 0.822 0.447
C1 0.250 0.750 0.500
C2 0.500 0.500 0.000